# 1
An optimized crystal structure of HoLuBeRu, computed with PBE.

```
4
Lattice="4.763 0.000 0.000 2.381 4.125 0.000 2.381 1.375 3.889" Properties=species:S:1:pos:R:3 pbc="T T T"
Be 2.381 1.375 0.972
Lu 4.763 2.750 1.944
Ru 7.144 4.125 2.917
Ho 0.000 0.000 0.000
```

Total energy   -22.9 eV/cell
DFT formation energy   -0.204 eV per atom



# 2
An optimized crystal structure of Li4Zn2Ir3, computed with PBE.

```
18
Lattice="-0.442 4.915 -1.336 -6.115 0.566 4.106 0.478 1.973 7.103" Properties=species:S:1:pos:R:3 pbc="T T T"
Li -0.843 4.220 6.023
Ir -3.150 4.956 4.603
Li -2.850 4.389 7.311
Li -5.237 3.235 3.850
Li -0.550 1.730 6.548
Zn -3.038 6.832 6.580
Ir -2.929 2.499 5.270
Ir -1.088 1.669 1.609
Zn -1.008 3.562 3.650
Li -5.323 6.366 5.620
Li -0.756 1.089 4.253
Zn -3.041 0.623 3.293
Ir -1.309 4.127 0.941
Li -3.229 3.066 2.562
Ir -4.991 5.786 8.264
Li -5.529 5.725 3.325
Ir -4.771 3.328 8.932
Zn -5.071 3.893 6.223
```

Total energy   -77.0 eV/cell
DFT formation energy   -0.191 eV per atom



# 3
An optimized crystal structure of Nd2HoPd2, computed with PBE.

```
10
Lattice="-1.088 3.601 -1.335 -4.928 2.266 4.162 5.716 6.134 5.920" Properties=species:S:1:pos:R:3 pbc="T T T"
Nd -1.219 2.259 1.120
Pd 0.910 3.880 3.757
Ho 0.930 5.174 1.263
Nd -1.840 5.197 3.583
Ho -1.230 6.827 7.483
Nd 1.540 6.804 5.164
Pd -1.209 8.121 4.990
Pd 3.235 9.290 4.520
Pd -3.535 2.711 4.226
Nd 0.919 9.742 7.627
```

Total energy   -55.7 eV/cell
DFT formation energy   -0.674 eV per atom
ΔE to the lowest computed polymorph   0 meV per atom



# 4
An optimized crystal structure of PrSi2NiPt5, computed with PBE.

```
9
Lattice="4.105 0.000 0.000 0.000 4.105 0.000 0.000 0.000 10.121" Properties=species:S:1:pos:R:3 pbc="T T T"
Pt 2.053 2.053 5.061
Pt 2.053 0.000 8.601
Pt 0.000 2.053 8.601
Pt 0.000 2.053 1.521
Ni 0.000 0.000 0.000
Pt 2.053 0.000 1.521
Pr 0.000 0.000 5.061
Si 2.053 2.053 7.416
Si 2.053 2.053 2.705
```

Total energy   -56.9 eV/cell
Uncorrected formation energy   -5.29 eV/f.u.



Number 1: total magnetic moment 0.0 μB/f.u.. Number 2: total magnetic moment 0.0 μB/f.u.. Number 3: total magnetic moment 0.0 μB/f.u.. Number 4: total magnetic moment 0.2 μB/f.u..